VASP calculation (PBE) on Dy2Tm4Al after structural relaxation.

It has space group R-3m (No. 166, hexagonal axes), with a = 3.5346 Å, b = 3.5346 Å, c = 56.2593 Å, α = 90.00°, β = 90.00° and γ = 120.00°. The inequivalent atoms are Dy at (0.0000, 0.0000, 0.1921), Tm at (0.0000, 0.0000, 0.0909), Tm at (0.0000, 0.0000, 0.3732) and Al at (0.0000, 0.0000, 0.0000).

Its total magnetization is 0.00 μB per atom. As for the density of states at the Fermi level: 23.70 states/eV per cell. For the calculated formation energy, the calculation gives -0.042 eV per atom.